{
  "formula": "YFe2Au",
  "functional": "PBE",
  "state": "optimized geometry",
  "cell": [[0.000, 3.244, 3.244], [3.244, 0.000, 3.244], [3.244, 3.244, 0.000]],
  "species": ["Y", "Fe", "Fe", "Au"],
  "frac_coords": [[0.000, 0.000, 0.000], [0.250, 0.250, 0.250], [0.750, 0.750, 0.750], [0.500, 0.500, 0.500]],
  "energy_ev_per_atom": -6.5240,
  "delta_e_f_ev_per_atom": 0.143,
  "spacegroup": "Fm-3m",
  "density_g_cm3": 9.7
}